The following is a GGA-PBE calculation of a geometry-optimized Ca2Mg2Tl structure, from Alexandria.

Summary:
Its excess energy over the best structure of this formula in the dataset is 0.0000 eV/atom. Its energy of formation from the pure elements is -108.3 meV per atom. As for the size of the total moment: 0.0 μB per formula unit.

Geometry as extended XYZ:
```
10
Lattice="7.796 0.000 0.000 0.000 7.796 0.000 0.000 0.000 4.981" Properties=species:S:1:pos:R:3 pbc="T T T"
Mg 2.869 6.767 0.000
Mg 1.030 2.869 0.000
Mg 6.767 4.928 0.000
Mg 4.928 1.030 0.000
Tl 3.898 3.898 0.000
Tl 0.000 0.000 0.000
Ca 2.554 1.344 2.491
Ca 5.242 6.452 2.491
Ca 1.344 5.242 2.491
Ca 6.452 2.554 2.491
```